# 1
Material: Sc2CuRu
Method: DFT, PBE
State: optimized geometry

Crystal system   trigonal
Calculated formation energy   -0.1248 eV/atom

Unit cell a=8.2269 b=8.2269 c=8.2269 alpha=22.70 beta=22.70 gamma=22.70
Atoms (fractional coordinates):
Sc 0.2453 0.2453 0.2453
Sc 0.7547 0.7547 0.7547
Cu 0.0000 0.0000 0.0000
Ru 0.5000 0.5000 0.5000



# 2
Material: SmScCuRu
Method: DFT, PBE
State: optimized geometry

Crystal system   cubic
Calculated formation energy   -0.2887 eV/atom

Unit cell a=4.7754 b=4.7754 c=4.7754 alpha=60.00 beta=60.00 gamma=60.00
Atoms (fractional coordinates):
Sm 0.0000 0.0000 0.0000
Sc 0.5000 0.5000 0.5000
Cu 0.7500 0.7500 0.7500
Ru 0.2500 0.2500 0.2500



# 3
Material: ScCuSnRu
Method: DFT, PBE
State: optimized geometry

Crystal system   cubic
Calculated formation energy   -0.3456 eV/atom

Unit cell a=4.5557 b=4.5557 c=4.5557 alpha=60.00 beta=60.00 gamma=60.00
Atoms (fractional coordinates):
Sc 0.0000 0.0000 0.0000
Cu 0.2500 0.2500 0.2500
Sn 0.5000 0.5000 0.5000
Ru 0.7500 0.7500 0.7500



# 4
Material: ScTaCuRu
Method: DFT, PBE
State: optimized geometry

Crystal system   cubic
Calculated formation energy   -0.2443 eV/atom

Unit cell a=4.5078 b=4.5078 c=4.5078 alpha=60.00 beta=60.00 gamma=60.00
Atoms (fractional coordinates):
Sc 0.0000 0.0000 0.0000
Ta 0.5000 0.5000 0.5000
Cu 0.7500 0.7500 0.7500
Ru 0.2500 0.2500 0.2500



# 5
Material: TbScCuRu
Method: DFT, PBE
State: optimized geometry

Crystal system   cubic
Calculated formation energy   -0.3570 eV/atom

Unit cell a=4.7304 b=4.7304 c=4.7304 alpha=60.00 beta=60.00 gamma=60.00
Atoms (fractional coordinates):
Tb 0.0000 0.0000 0.0000
Sc 0.5000 0.5000 0.5000
Cu 0.7500 0.7500 0.7500
Ru 0.2500 0.2500 0.2500



# 6
Material: ScTiCuRu
Method: DFT, PBE
State: optimized geometry

Crystal system   cubic
Calculated formation energy   -0.3904 eV/atom

Unit cell a=4.4652 b=4.4652 c=4.4652 alpha=60.00 beta=60.00 gamma=60.00
Atoms (fractional coordinates):
Sc 0.0000 0.0000 0.0000
Ti 0.5000 0.5000 0.5000
Cu 0.2500 0.2500 0.2500
Ru 0.7500 0.7500 0.7500



# 7
Material: ScVCuRu
Method: DFT, PBE
State: optimized geometry

Crystal system   cubic
Calculated formation energy   -0.1726 eV/atom

Unit cell a=4.4018 b=4.4018 c=4.4018 alpha=60.00 beta=60.00 gamma=60.00
Atoms (fractional coordinates):
Sc 0.0000 0.0000 0.0000
V 0.5000 0.5000 0.5000
Cu 0.2500 0.2500 0.2500
Ru 0.7500 0.7500 0.7500



# 8
Material: YScCuRu
Method: DFT, PBE
State: optimized geometry

Crystal system   cubic
Calculated formation energy   -0.3555 eV/atom

Unit cell a=4.7298 b=4.7298 c=4.7298 alpha=60.00 beta=60.00 gamma=60.00
Atoms (fractional coordinates):
Y 0.0000 0.0000 0.0000
Sc 0.5000 0.5000 0.5000
Cu 0.2500 0.2500 0.2500
Ru 0.7500 0.7500 0.7500